An optimized crystal structure of BiMoIO4, computed with PBE with a Hubbard U.

a b c (Å): 11.135 7.532 8.208
angles (deg): 90.00 112.69 90.00
Space group C2/m (No. 12)
Unique sites:
Bi 0.218 0.000 0.190 [4 per cell]
Mo 0.123 0.500 0.277 [4 per cell]
I 0.035 0.000 0.767 [4 per cell]
O 0.050 0.500 0.816 [4 per cell]
O 0.177 0.500 0.516 [4 per cell]
O 0.187 0.307 0.208 [8 per cell]

Output
**Crystal system**: monoclinic
**VASP energy**: -5.8978 eV per atom